This record from Alexandria via LeMat-Bulk describes a relaxed Ga2CoRe crystal. The functional is PBE.

Summary:
The calculation puts the energy of formation at 476 meV per atom. Its space group is I-42d (122). For the total magnetization, the calculation gives 1.92 μB/f.u.

Cell: 5.4219 5.4219 5.4219 Å, 103.73 103.73 121.69°
With the nearest neighbours (Å) after each atom.
Fractional coordinates of all 8 atoms:
Ga (0.0986, 0.6250, 0.9736)  2 Co 2.34, 2 Re 2.58
Ga (0.3750, 0.3486, 0.4736)  2 Co 2.34, 2 Re 2.58
Ga (0.6514, 0.1250, 0.0264)  2 Co 2.34, 2 Re 2.58
Ga (0.8750, 0.9014, 0.5264)  2 Co 2.34, 2 Re 2.58
Co (0.0000, 0.0000, 0.0000)  4 Ga 2.34
Co (0.7500, 0.2500, 0.5000)  4 Ga 2.34
Re (0.2500, 0.7500, 0.5000)  4 Ga 2.58, 2 Co 2.64
Re (0.5000, 0.5000, 0.0000)  4 Ga 2.58, 2 Co 2.64